[1]
First-principles (GGA-PBE) data for an optimized crystal structure of ScFeMo2, as listed in Alexandria via LeMat-Bulk.

a = 4.3259 Å, b = 2.7632 Å, c = 5.3556 Å
α = 80.44°, β = 90.00°, γ = 90.00°
Closest atoms and distances in Å follow each position.
Element x y z (fractional)
Mo 0.5000 0.2194 0.2352  4 Mo 2.61-2.76, 2 Fe 2.78-2.84, 2 Sc 2.79
Mo 0.0000 0.0083 0.0016  4 Mo 2.61-2.76, 2 Fe 2.67, 2 Sc 2.75-2.85
Sc 0.0000 0.4952 0.5100  2 Fe 2.71, 4 Mo 2.75-2.85, 2 Sc 2.76
Fe 0.5000 0.7772 0.7532  4 Mo 2.67-2.84, 2 Sc 2.71, 2 Fe 2.76

E above lowest polymorph = 92 meV/atom
calculated total energy = -8.96 eV per atom
space-group type = No. 6
energy relative to the elements = 0.16 eV/atom


[2]
First-principles (GGA-PBE) data for an optimized crystal structure of CsFe2Te2, as listed in Alexandria via LeMat-Bulk.

a = 4.0739 Å, b = 4.0739 Å, c = 8.3887 Å
α = 75.95°, β = 75.95°, γ = 90.00°
Closest atoms and distances in Å follow each position.
Element x y z (fractional)
Fe 0.2500 0.7500 0.5000  4 Te 2.49
Fe 0.7500 0.2500 0.5000  4 Te 2.49
Te 0.3406 0.3406 0.3187  4 Fe 2.49
Te 0.6594 0.6594 0.6813  4 Fe 2.49
Cs 0.0000 0.0000 0.0000  8 Te 3.82, 4 Cs 4.07

calculated total energy = -5.00 eV per atom
space-group type = No. 139
ΔE_f (raw) = -0.189 eV per atom